Record 1
The following is a DFT calculation (GGA-PBE) of a relaxed ErMgPa crystal.

CIF file:
```
data_ErMgPa
_chemical_formula_sum 'Er2 Mg2 Pa2'
_cell_length_a 3.3451
_cell_length_b 3.3451
_cell_length_c 13.9415
_cell_angle_alpha 90.00
_cell_angle_beta 90.00
_cell_angle_gamma 90.00
_symmetry_space_group_name_H-M 'P 4/n m m'
_symmetry_Int_Tables_number 129
loop_
_symmetry_equiv_pos_as_xyz
'x,y,z'
'-x,-y,-z'
'-y+1/2,x,z'
'y+1/2,-x,-z'
'-x+1/2,-y+1/2,z'
'x+1/2,y+1/2,-z'
'y,-x+1/2,z'
'-y,x+1/2,-z'
'x+1/2,-y,-z'
'-x+1/2,y,z'
'-y,-x,-z'
'y,x,z'
'-x,y+1/2,-z'
'x,-y+1/2,z'
'y+1/2,x+1/2,-z'
'-y+1/2,-x+1/2,z'
loop_
_atom_site_label
_atom_site_type_symbol
_atom_site_fract_x
_atom_site_fract_y
_atom_site_fract_z
Er1 Er 0.2500 0.2500 0.2457
Mg1 Mg 0.2500 0.2500 0.9273
Pa1 Pa 0.2500 0.2500 0.5818
```

Computed properties:
Raw total energy, eV per atom: -5.202
Calculated density, g/cm3: 9.00
M_tot, μB/f.u.: 0.0
DFT formation energy, eV/f.u.: 0.05

Record 2
The following is a DFT calculation (GGA-PBE) of a relaxed ErMg2Pa crystal.

CIF file:
```
data_ErMg2Pa
_chemical_formula_sum 'Er1 Mg2 Pa1'
_cell_length_a 3.1937
_cell_length_b 3.1937
_cell_length_c 9.8737
_cell_angle_alpha 90.00
_cell_angle_beta 90.00
_cell_angle_gamma 90.00
_symmetry_space_group_name_H-M 'P 4/m m m'
_symmetry_Int_Tables_number 123
_symmetry_space_group_name_Hall '-P 4 2'
loop_
_atom_site_label
_atom_site_type_symbol
_atom_site_fract_x
_atom_site_fract_y
_atom_site_fract_z
Er1 Er 0.0000 0.0000 0.0000
Mg1 Mg 0.5000 0.5000 0.2495
Pa1 Pa 0.0000 0.0000 0.5000
```

Computed properties:
Raw total energy, eV per atom: -4.149
Calculated density, g/cm3: 7.37
M_tot, μB/f.u.: 0.7
DFT formation energy, eV/f.u.: 0.65

Record 3
The following is a DFT calculation (GGA-PBE) of a relaxed PrErMgPa crystal.

CIF file:
```
data_PrErMgPa
_chemical_formula_sum 'Pr4 Er4 Mg4 Pa4'
_cell_length_a 7.6823
_cell_length_b 7.6823
_cell_length_c 7.6823
_cell_angle_alpha 90.00
_cell_angle_beta 90.00
_cell_angle_gamma 90.00
_symmetry_space_group_name_H-M 'F -4 3 m'
_symmetry_Int_Tables_number 216
_symmetry_space_group_name_Hall 'F -4 2 3'
loop_
_atom_site_label
_atom_site_type_symbol
_atom_site_fract_x
_atom_site_fract_y
_atom_site_fract_z
Pr1 Pr 0.0000 0.0000 0.0000
Er1 Er 0.0000 0.0000 0.5000
Mg1 Mg 0.2500 0.2500 0.2500
Pa1 Pa 0.2500 0.2500 0.7500
```

Computed properties:
Raw total energy, eV per atom: -4.764
Calculated density, g/cm3: 8.26
M_tot, μB/f.u.: 0.0
DFT formation energy, eV/f.u.: 1.38

Record 4
The following is a DFT calculation (GGA-PBE) of a relaxed ErMgScPa crystal.

CIF file:
```
data_ErMgScPa
_chemical_formula_sum 'Er4 Mg4 Sc4 Pa4'
_cell_length_a 7.4503
_cell_length_b 7.4503
_cell_length_c 7.4503
_cell_angle_alpha 90.00
_cell_angle_beta 90.00
_cell_angle_gamma 90.00
_symmetry_space_group_name_H-M 'F -4 3 m'
_symmetry_Int_Tables_number 216
_symmetry_space_group_name_Hall 'F -4 2 3'
loop_
_atom_site_label
_atom_site_type_symbol
_atom_site_fract_x
_atom_site_fract_y
_atom_site_fract_z
Er1 Er 0.0000 0.0000 0.0000
Mg1 Mg 0.2500 0.2500 0.2500
Sc1 Sc 0.0000 0.0000 0.5000
Pa1 Pa 0.2500 0.2500 0.7500
```

Computed properties:
Raw total energy, eV per atom: -5.167
Calculated density, g/cm3: 7.51
M_tot, μB/f.u.: 2.4
DFT formation energy, eV/f.u.: 1.32

Record 5
The following is a DFT calculation (GGA-PBE) of a relaxed TbErMgPa crystal.

CIF file:
```
data_TbErMgPa
_chemical_formula_sum 'Tb4 Er4 Mg4 Pa4'
_cell_length_a 7.6280
_cell_length_b 7.6280
_cell_length_c 7.6280
_cell_angle_alpha 90.00
_cell_angle_beta 90.00
_cell_angle_gamma 90.00
_symmetry_space_group_name_H-M 'F -4 3 m'
_symmetry_Int_Tables_number 216
_symmetry_space_group_name_Hall 'F -4 2 3'
loop_
_atom_site_label
_atom_site_type_symbol
_atom_site_fract_x
_atom_site_fract_y
_atom_site_fract_z
Tb1 Tb 0.0000 0.0000 0.0000
Er1 Er 0.0000 0.0000 0.5000
Mg1 Mg 0.2500 0.2500 0.7500
Pa1 Pa 0.2500 0.2500 0.2500
```

Computed properties:
Raw total energy, eV per atom: -4.726
Calculated density, g/cm3: 8.70
M_tot, μB/f.u.: 1.9
DFT formation energy, eV/f.u.: 1.38

Record 6
The following is a DFT calculation (GGA-PBE) of a relaxed ErMgPaTc crystal.

CIF file:
```
data_ErMgPaTc
_chemical_formula_sum 'Er4 Mg4 Pa4 Tc4'
_cell_length_a 7.0749
_cell_length_b 7.0749
_cell_length_c 7.0749
_cell_angle_alpha 90.00
_cell_angle_beta 90.00
_cell_angle_gamma 90.00
_symmetry_space_group_name_H-M 'F -4 3 m'
_symmetry_Int_Tables_number 216
_symmetry_space_group_name_Hall 'F -4 2 3'
loop_
_atom_site_label
_atom_site_type_symbol
_atom_site_fract_x
_atom_site_fract_y
_atom_site_fract_z
Er1 Er 0.0000 0.0000 0.0000
Mg1 Mg 0.2500 0.2500 0.2500
Pa1 Pa 0.0000 0.0000 0.5000
Tc1 Tc 0.2500 0.2500 0.7500
```

Computed properties:
Raw total energy, eV per atom: -6.421
Calculated density, g/cm3: 9.76
M_tot, μB/f.u.: 0.0
DFT formation energy, eV/f.u.: 0.34

Record 7
The following is a DFT calculation (GGA-PBE) of a relaxed ErThMgPa crystal.

CIF file:
```
data_ErThMgPa
_chemical_formula_sum 'Er4 Th4 Mg4 Pa4'
_cell_length_a 7.6378
_cell_length_b 7.6378
_cell_length_c 7.6378
_cell_angle_alpha 90.00
_cell_angle_beta 90.00
_cell_angle_gamma 90.00
_symmetry_space_group_name_H-M 'F -4 3 m'
_symmetry_Int_Tables_number 216
_symmetry_space_group_name_Hall 'F -4 2 3'
loop_
_atom_site_label
_atom_site_type_symbol
_atom_site_fract_x
_atom_site_fract_y
_atom_site_fract_z
Er1 Er 0.0000 0.0000 0.0000
Th1 Th 0.0000 0.0000 0.5000
Mg1 Mg 0.2500 0.2500 0.2500
Pa1 Pa 0.2500 0.2500 0.7500
```

Computed properties:
Raw total energy, eV per atom: -5.475
Calculated density, g/cm3: 9.76
M_tot, μB/f.u.: 0.0
DFT formation energy, eV/f.u.: 1.17

Record 8
The following is a DFT calculation (GGA-PBE) of a relaxed Er3Mg2Pb3 crystal.

CIF file:
```
data_Er3Mg2Pb3
_chemical_formula_sum 'Er6 Mg4 Pb6'
_cell_length_a 4.3691
_cell_length_b 4.6501
_cell_length_c 21.0176
_cell_angle_alpha 90.00
_cell_angle_beta 90.00
_cell_angle_gamma 90.00
_symmetry_space_group_name_H-M 'I m m m'
_symmetry_Int_Tables_number 71
_symmetry_space_group_name_Hall '-I 2 2'
loop_
_atom_site_label
_atom_site_type_symbol
_atom_site_fract_x
_atom_site_fract_y
_atom_site_fract_z
Er1 Er 0.0000 0.0000 0.0000
Er2 Er 0.0000 0.5000 0.1252
Mg1 Mg 0.0000 0.0000 0.2513
Pb1 Pb 0.0000 0.0000 0.5000
Pb2 Pb 0.0000 0.5000 0.3582
```

Computed properties:
Raw total energy, eV per atom: -3.797
Calculated density, g/cm3: 9.12
M_tot, μB/f.u.: 0.0
DFT formation energy, eV/f.u.: -2.37